Density functional theory data (PBE) for RbCaMnI5 after structural relaxation.

calculated density: 3.62 g/cm3
electronic total energy: -0.2662 Ry/atom
E_form (uncorrected): -109.60 kJ per mole of atoms
SG: No. 15

Lattice parameters (Å, degrees): 8.6429 8.6429 11.3395 104.15 104.15 105.37
With the nearest neighbours (Å) after each atom.
Fractional coordinates of all 16 atoms:
Rb: 0.1526 0.8474 0.7500  5 I 3.63-3.75
Rb: 0.8474 0.1526 0.2500  5 I 3.63-3.75
Ca: 0.5000 0.5000 0.0000  6 I 3.06-3.23
Ca: 0.5000 0.5000 0.5000  6 I 3.06-3.23
Mn: 0.1839 0.8161 0.2500  4 I 2.71-2.72
Mn: 0.8161 0.1839 0.7500  4 I 2.71-2.72
I: 0.1151 0.2520 0.9356  1 Mn 2.72
I: 0.1736 0.5912 0.3800  1 Mn 2.71
I: 0.2520 0.1151 0.4356  1 Mn 2.72
I: 0.4088 0.8264 0.1200  1 Mn 2.71
I: 0.4168 0.5832 0.7500  2 Ca 3.06
I: 0.5832 0.4168 0.2500  2 Ca 3.06
I: 0.5912 0.1736 0.8800  1 Mn 2.71
I: 0.7480 0.8849 0.5644  1 Mn 2.72
I: 0.8264 0.4088 0.6200  1 Mn 2.71
I: 0.8849 0.7480 0.0644  1 Mn 2.72